Entry 1:
DFT (PBE) results for an optimized crystal structure of Pr2ErSe4.

Calculated values
As for the density: 6.34 Mg/m³. For the total moment, the calculation gives 0.000 μB per formula unit. The offset from the most stable computed form comes out at 61 meV/atom. The calculation puts the uncorrected formation energy at -1.80 eV per atom.

```
data_Pr2ErSe4
_cell_length_a 4.021
_cell_length_b 14.064
_cell_length_c 14.162
_cell_angle_alpha 90.00
_cell_angle_beta 90.00
_cell_angle_gamma 90.00
_symmetry_space_group_name_H-M 'C m c m'
_symmetry_Int_Tables_number 63
_symmetry_space_group_name_Hall '-C 2c 2'
loop_
_atom_site_label
_atom_site_type_symbol
_atom_site_fract_x
_atom_site_fract_y
_atom_site_fract_z
Pr1 Pr 0.000 0.130 0.072
Er1 Er 0.000 0.372 0.250
Se1 Se 0.000 0.017 0.250
Se2 Se 0.000 0.218 0.627
Se3 Se 0.000 0.500 0.000
```


Entry 2:
DFT (PBE) results for an optimized crystal structure of PaAlMoW.

Calculated values
As for the density: 12.57 Mg/m³. The calculated total energy is -147.30 eV per cell. For the total moment, the calculation gives 0.000 μB per formula unit.

```
data_PaAlMoW
_cell_length_a 6.575
_cell_length_b 6.575
_cell_length_c 6.575
_cell_angle_alpha 90.00
_cell_angle_beta 90.00
_cell_angle_gamma 90.00
_symmetry_space_group_name_H-M 'F -4 3 m'
_symmetry_Int_Tables_number 216
_symmetry_space_group_name_Hall 'F -4 2 3'
loop_
_atom_site_label
_atom_site_type_symbol
_atom_site_fract_x
_atom_site_fract_y
_atom_site_fract_z
Pa1 Pa 0.000 0.000 0.000
Al1 Al 0.000 0.000 0.500
Mo1 Mo 0.250 0.250 0.250
W1 W 0.250 0.250 0.750
```


Entry 3:
DFT (PBE) results for an optimized crystal structure of RbCdN.

Calculated values
As for the density: 3.35 Mg/m³. For the total moment, the calculation gives 0.298 μB per formula unit. The calculation puts the uncorrected formation energy at -0.05 eV per atom.

```
data_RbCdN
_cell_length_a 4.864
_cell_length_b 5.021
_cell_length_c 10.061
_cell_angle_alpha 79.98
_cell_angle_beta 76.28
_cell_angle_gamma 62.01
_symmetry_space_group_name_H-M 'P -1'
_symmetry_Int_Tables_number 2
loop_
_symmetry_equiv_pos_as_xyz
'x,y,z'
'-x,-y,-z'
loop_
_atom_site_label
_atom_site_type_symbol
_atom_site_fract_x
_atom_site_fract_y
_atom_site_fract_z
Rb1 Rb 0.112 0.045 0.227
Cd1 Cd 0.334 0.327 0.501
N1 N 0.459 0.614 0.967
```


Entry 4:
DFT (PBE) results for an optimized crystal structure of Mg2MnCdN.

Calculated values
As for the density: 4.97 Mg/m³. For the total moment, the calculation gives 3.158 μB per formula unit. The calculation puts the uncorrected formation energy at -0.22 eV per atom.

```
data_Mg2MnCdN
_cell_length_a 4.395
_cell_length_b 4.395
_cell_length_c 3.981
_cell_angle_alpha 90.00
_cell_angle_beta 90.00
_cell_angle_gamma 90.00
_symmetry_space_group_name_H-M 'P 4/m m m'
_symmetry_Int_Tables_number 123
_symmetry_space_group_name_Hall '-P 4 2'
loop_
_atom_site_label
_atom_site_type_symbol
_atom_site_fract_x
_atom_site_fract_y
_atom_site_fract_z
Mg1 Mg 0.000 0.500 0.000
Mn1 Mn 0.000 0.000 0.500
Cd1 Cd 0.500 0.500 0.500
N1 N 0.000 0.000 0.000
```


Entry 5:
DFT (PBE) results for an optimized crystal structure of Pr5ScZn6.

Calculated values
As for the density: 6.46 Mg/m³. The calculated total energy is -41.36 eV per cell. For the total moment, the calculation gives 0.000 μB per formula unit.

```
data_Pr5ScZn6
_cell_length_a 5.137
_cell_length_b 7.315
_cell_length_c 8.220
_cell_angle_alpha 90.00
_cell_angle_beta 108.11
_cell_angle_gamma 90.00
_symmetry_space_group_name_H-M 'P 1 2/m 1'
_symmetry_Int_Tables_number 10
loop_
_symmetry_equiv_pos_as_xyz
'x,y,z'
'-x,-y,-z'
'-x,y,-z'
'x,-y,z'
loop_
_atom_site_label
_atom_site_type_symbol
_atom_site_fract_x
_atom_site_fract_y
_atom_site_fract_z
Pr1 Pr 0.000 0.000 0.000
Pr2 Pr 0.329 0.000 0.657
Pr3 Pr 0.335 0.500 0.671
Sc1 Sc 0.000 0.500 0.000
Zn1 Zn 0.157 0.263 0.313
Zn2 Zn 0.500 0.268 0.000
```


Entry 6:
DFT (PBE) results for an optimized crystal structure of Ga2TePd8.

Calculated values
As for the density: 10.48 Mg/m³. For the total moment, the calculation gives 0.000 μB per formula unit. The offset from the most stable computed form comes out at 0 meV/atom. The calculation puts the uncorrected formation energy at -0.43 eV per atom.

```
data_Ga2TePd8
_cell_length_a 14.650
_cell_length_b 4.108
_cell_length_c 6.234
_cell_angle_alpha 90.00
_cell_angle_beta 109.08
_cell_angle_gamma 90.00
_symmetry_space_group_name_H-M 'C 1 2/m 1'
_symmetry_Int_Tables_number 12
loop_
_symmetry_equiv_pos_as_xyz
'x,y,z'
'-x,-y,-z'
'-x,y,-z'
'x,-y,z'
'x+1/2,y+1/2,z'
'-x+1/2,-y+1/2,-z'
'-x+1/2,y+1/2,-z'
'x+1/2,-y+1/2,z'
loop_
_atom_site_label
_atom_site_type_symbol
_atom_site_fract_x
_atom_site_fract_y
_atom_site_fract_z
Ga1 Ga 0.194 0.000 0.182
Te1 Te 0.000 0.500 0.500
Pd1 Pd 0.031 0.000 0.248
Pd2 Pd 0.097 0.500 0.966
Pd3 Pd 0.172 0.500 0.443
Pd4 Pd 0.187 0.000 0.776
```


Look up the total moment of the second one. 0.000 μB per formula unit


Please write out number 3 again, unchanged.
DFT (PBE) results for an optimized crystal structure of RbCdN.

Calculated values
As for the density: 3.35 Mg/m³. For the total moment, the calculation gives 0.298 μB per formula unit. The calculation puts the uncorrected formation energy at -0.05 eV per atom.

```
data_RbCdN
_cell_length_a 4.864
_cell_length_b 5.021
_cell_length_c 10.061
_cell_angle_alpha 79.98
_cell_angle_beta 76.28
_cell_angle_gamma 62.01
_symmetry_space_group_name_H-M 'P -1'
_symmetry_Int_Tables_number 2
loop_
_symmetry_equiv_pos_as_xyz
'x,y,z'
'-x,-y,-z'
loop_
_atom_site_label
_atom_site_type_symbol
_atom_site_fract_x
_atom_site_fract_y
_atom_site_fract_z
Rb1 Rb 0.112 0.045 0.227
Cd1 Cd 0.334 0.327 0.501
N1 N 0.459 0.614 0.967
```


Among the records above, which one has the highest total moment? Mg2MnCdN